Model A:
Density functional theory data (PBE) for a relaxed LaHoMgZn crystal.

Output
Theoretical density (Mg/m³): 6.1

a b c (Å): 3.6675 3.6675 7.9344
angles (deg): 90.00 90.00 90.00
Last column: nearest neighbours and their distance in Å.
Positions (direct):
La (0.0000, 0.0000, 0.8794)  4 Zn 3.28, 4 Mg 3.48, 1 Ho 3.57, 4 La 3.67
Ho (0.0000, 0.0000, 0.3288)  4 Zn 3.02, 4 Mg 3.30
Mg (0.5000, 0.5000, 0.5866)  4 Ho 3.30, 4 La 3.48, 1 Zn 3.60, 4 Mg 3.67
Zn (0.5000, 0.5000, 0.1332)  4 Ho 3.02, 4 La 3.28

---

Model B:
Density functional theory data (PBE) for a relaxed LaHoMgZn crystal.

Output
Theoretical density (Mg/m³): 6.2

a b c (Å): 5.3152 5.3152 5.3152
angles (deg): 60.00 60.00 60.00
Last column: nearest neighbours and their distance in Å.
Positions (direct):
Mg (0.7500, 0.7500, 0.7500)  4 Ho 3.25, 4 La 3.25
Zn (0.2500, 0.2500, 0.2500)  4 La 3.25, 4 Ho 3.25
Ho (0.5000, 0.5000, 0.5000)  4 Mg 3.25, 4 Zn 3.25
La (0.0000, 0.0000, 0.0000)  4 Mg 3.25, 4 Zn 3.25

---

Relative energies, eV/atom: model A 0.000; model B 0.038.